A plane-wave DFT calculation with PBE was carried out for a relaxed Li2Th2Pt15 crystal.

**Total energy**: -6.39 eV per atom
**M_tot**: 0.00 μB per atom
**DFT formation energy**: -641 meV per atom

Cell: 9.2630 9.2630 13.5363 Å, 90.00 90.00 120.00°
Space group R-3m (No. 166, hexagonal axes)
Unique sites:
Li (0.0000, 0.0000, 0.0934) x6
Th (0.0000, 0.0000, 0.3435) x6
Pt (0.0000, 0.3203, 0.0000) x18
Pt (0.0000, 0.5000, 0.5000) x9
Pt (0.0018, 0.5009, 0.1606) x18